## AcNi3Se4O12 (PBE+U)

Data for an optimized crystal structure of AcNi3Se4O12.

Unit cell a=6.7617 b=6.7617 c=6.7617 alpha=105.26 beta=105.26 gamma=105.26
Site moments in Bohr magnetons follow the coordinates.
Sites, in units of the cell vectors:
Ac  0.0000  0.0000  0.0000  0.01
Ni  0.5786  0.4214  0.0000  1.75
Ni  0.4214  0.0000  0.5786  1.75
Ni  0.0000  0.5786  0.4214  1.75
Se  0.8878  0.1122  0.5000  0.00
Se  0.1122  0.5000  0.8878  0.00
Se  0.5000  0.8878  0.1122  0.00
Se  0.5000  0.5000  0.5000  0.01
O  0.5000  0.3251  0.6749  0.02
O  0.9516  0.5000  0.0484  0.02
O  0.0484  0.9516  0.5000  0.02
O  0.5000  0.0484  0.9516  0.02
O  0.3427  0.0066  0.2663  0.02
O  0.2663  0.3427  0.0066  0.02
O  0.0066  0.2663  0.3427  0.02
O  0.6573  0.7337  0.9934  0.02
O  0.9934  0.6573  0.7337  0.02
O  0.7337  0.9934  0.6573  0.02
O  0.6749  0.5000  0.3251  0.02
O  0.3251  0.6749  0.5000  0.02

Calculated values
Raw total energy = -5.163 eV/atom
Total moment = 5.6 μB per formula unit
Fermi-level density of states = 5.94 states/eV/cell
Symmetry = R32, No. 155